Entry from Alexandria via LeMat-Bulk: a relaxed structure of Ac3Sm2Hg3 (PBE).

a = 12.2591 Å, b = 12.2591 Å, c = 12.2591 Å
α = 161.39°, β = 152.96°, γ = 33.03°
Closest atoms and distances in Å follow each position.
Fractional positions:
Ac1 0.0000 0.0000 0.0000  8 Hg 3.48-3.59
Ac2 0.3775 0.8775 0.5000  6 Hg 3.49-3.50, 2 Sm 3.88
Ac3 0.6225 0.1225 0.5000  6 Hg 3.49-3.50, 2 Sm 3.88
Sm1 0.2338 0.2338 0.0000  2 Hg 3.19, 4 Sm 3.57
Sm2 0.7662 0.7662 0.0000  2 Hg 3.19, 4 Sm 3.57
Hg1 0.1272 0.6272 0.5000  2 Sm 3.19, 4 Ac 3.49
Hg2 0.5000 0.5000 0.0000  8 Ac 3.48-3.50
Hg3 0.8728 0.3728 0.5000  2 Sm 3.19, 4 Ac 3.49

Output
The value obtained for the formation energy is -0.35 eV per atom. As for the spin magnetization: 0.0 μB per cell. The final energy comes out at -0.2342 Ry per atom.